## Be2Re2F (PBE)

Data for a relaxed Be2Re2F crystal.

Lattice parameters (Å, degrees): 2.718 2.718 15.869 90.00 90.00 90.00
Space group I4/mmm (No. 139)
One atom of each set of equivalent atoms:
Be1 0.000 0.500 0.250
Re1 0.000 0.000 0.128
F1 0.000 0.000 0.500

Summary:
* energy relative to the elements, uncorrected: 319 meV per atom
* size of the total moment: 0.00 μB per atom
* total energy: -6.52 eV/atom



## TcI2O (PBE)

Data for a relaxed TcI2O crystal.

Lattice parameters (Å, degrees): 6.614 6.614 6.614 90.00 90.00 90.00
Space group Fm-3m (No. 225)
One atom of each set of equivalent atoms:
Tc1 0.000 0.000 0.000
I1 0.250 0.250 0.250
O1 0.000 0.000 0.500

Summary:
* energy relative to the elements, uncorrected: 795 meV per atom
* size of the total moment: 0.26 μB per atom
* total energy: -3.81 eV/atom



## BeHg2Mo (PBE)

Data for a relaxed BeHg2Mo crystal.

Lattice parameters (Å, degrees): 2.9891 2.9891 26.4464 90.00 90.00 120.00
Space group R-3m (No. 166, hexagonal axes)
One atom of each set of equivalent atoms:
Be1 0.0000 0.0000 0.0000
Hg1 0.0000 0.0000 0.2585
Mo1 0.0000 0.0000 0.5000

Summary:
* energy relative to the elements: 0.650 eV/atom
* size of the total moment: 0.00 μB per atom
* total energy: -3.14 eV/atom



## La2Tb5PrY (PBE)

Data for a relaxed La2Tb5PrY crystal.

Lattice parameters (Å, degrees): 8.747 8.747 15.896 90.00 90.00 90.00
Space group I4/mcm (No. 140)
One atom of each set of equivalent atoms:
La1 0.118 0.382 0.000
Tb1 0.000 0.000 0.000
Tb2 0.216 0.284 0.360
Pr1 0.000 0.000 0.250
Y1 0.000 0.500 0.250

Summary:
* energy relative to the elements: 0.248 eV/atom
* size of the total moment: 0.00 μB per atom
* total energy: -4.67 eV/atom



> What is the size of the total moment in the fourth record?

0.00 μB per atom